# 1
A relaxed structure of Hf3TlS6, computed with PBE-GGA.

It has space group P2_1/m (No. 11), with a = 11.446 Å, b = 3.634 Å, c = 11.478 Å, α = 90.00°, β = 107.06° and γ = 90.00°. Symmetry generates all atoms from Hf at (0.039, 0.250, 0.153), Hf at (0.265, 0.250, 0.698), Hf at (0.354, 0.750, 0.465), Tl at (0.372, 0.250, 0.088), S at (0.059, 0.250, 0.758), S at (0.133, 0.750, 0.050), S at (0.171, 0.750, 0.545), S at (0.251, 0.250, 0.316), S at (0.349, 0.750, 0.852) and S at (0.461, 0.250, 0.626).

Its total DFT energy (no corrections) is -7.070 eV per atom. Its crystal system is monoclinic. As for the total moment: 0.0 μB/f.u. The formation energy without anion corrections is -1371 meV per atom.



# 2
A relaxed structure of Hf4TlS8, computed with PBE-GGA.

It has space group R-3m (No. 166, hexagonal axes), with a = 7.2423 Å, b = 7.2423 Å, c = 23.7864 Å, α = 90.00°, β = 90.00° and γ = 120.00°. Symmetry generates all atoms from Hf at (0.0000, 0.0000, 0.0000), Hf at (0.0000, 0.5000, 0.0000), Tl at (0.0000, 0.0000, 0.5000), S at (0.0000, 0.0000, 0.2718) and S at (0.0010, 0.5005, 0.7290).

Its total DFT energy (no corrections) is -7.273 eV per atom. Its crystal system is trigonal. As for the total moment: 0.0 μB/f.u. The formation energy without anion corrections is -1488 meV per atom.



# 3
A relaxed structure of HfTlS3, computed with PBE-GGA.

It has space group Pm-3m (No. 221), with a = 5.010 Å, b = 5.010 Å, c = 5.010 Å, α = 90.00°, β = 90.00° and γ = 90.00°. Symmetry generates all atoms from Hf at (0.000, 0.000, 0.000), Tl at (0.500, 0.500, 0.500) and S at (0.000, 0.000, 0.500).

Its total DFT energy (no corrections) is -5.804 eV per atom. Its crystal system is cubic. As for the total moment: 0.0 μB/f.u. The formation energy without anion corrections is -864 meV per atom.



# 4
A relaxed structure of HfTl2S, computed with PBE-GGA.

It has space group Fm-3m (No. 225), with a = 7.304 Å, b = 7.304 Å, c = 7.304 Å, α = 90.00°, β = 90.00° and γ = 90.00°. Symmetry generates all atoms from Hf at (0.000, 0.000, 0.000), Tl at (0.250, 0.250, 0.250) and S at (0.000, 0.000, 0.500).

Its total DFT energy (no corrections) is -4.188 eV per atom. Its crystal system is cubic. As for the total moment: 0.0 μB/f.u. The formation energy without anion corrections is 515 meV per atom.



# 5
A relaxed structure of Hf2TlS, computed with PBE-GGA.

It has space group I-42d (No. 122), with a = 5.469 Å, b = 5.469 Å, c = 14.529 Å, α = 90.00°, β = 90.00° and γ = 90.00°. Symmetry generates all atoms from Hf at (0.170, 0.250, 0.125), Tl at (0.000, 0.000, 0.500) and S at (0.000, 0.000, 0.000).

Its total DFT energy (no corrections) is -6.486 eV per atom. Its crystal system is tetragonal. As for the total moment: 0.0 μB/f.u. The formation energy without anion corrections is 114 meV per atom.



# 6
A relaxed structure of Hf2Tl2S, computed with PBE-GGA.

It has space group P4/mbm (No. 127), with a = 6.700 Å, b = 6.700 Å, c = 4.995 Å, α = 90.00°, β = 90.00° and γ = 90.00°. Symmetry generates all atoms from Hf at (0.163, 0.337, 0.000), Tl at (0.162, 0.662, 0.500) and S at (0.000, 0.000, 0.000).

Its total DFT energy (no corrections) is -6.144 eV per atom. Its crystal system is tetragonal. As for the total moment: 0.0 μB/f.u. The formation energy without anion corrections is -391 meV per atom.



# 7
A relaxed structure of Hf2TlS4, computed with PBE-GGA.

It has space group Cmcm (No. 63), with a = 3.757 Å, b = 12.509 Å, c = 13.085 Å, α = 90.00°, β = 90.00° and γ = 90.00°. Symmetry generates all atoms from Hf at (0.000, 0.131, 0.064), Tl at (0.000, 0.395, 0.250), S at (0.000, 0.085, 0.250), S at (0.000, 0.234, 0.605) and S at (0.000, 0.500, 0.000).

Its total DFT energy (no corrections) is -6.779 eV per atom. Its crystal system is orthorhombic. As for the total moment: 0.0 μB/f.u. The formation energy without anion corrections is -1239 meV per atom.



# 8
A relaxed structure of HfTl2S4, computed with PBE-GGA.

It has space group I4/mmm (No. 139), with a = 4.988 Å, b = 4.988 Å, c = 15.772 Å, α = 90.00°, β = 90.00° and γ = 90.00°. Symmetry generates all atoms from Hf at (0.000, 0.000, 0.000), Tl at (0.000, 0.000, 0.352), S at (0.000, 0.000, 0.158) and S at (0.000, 0.500, 0.000).

Its total DFT energy (no corrections) is -5.012 eV per atom. Its crystal system is tetragonal. As for the total moment: 1.7 μB/f.u. The formation energy without anion corrections is -556 meV per atom.



# 9
A relaxed structure of Hf2TlS4, computed with PBE-GGA.

It has space group R-3m (No. 166, hexagonal axes), with a = 3.6128 Å, b = 3.6128 Å, c = 45.6413 Å, α = 90.00°, β = 90.00° and γ = 120.00°. Symmetry generates all atoms from Hf at (0.0000, 0.0000, 0.0701), Tl at (0.0000, 0.0000, 0.5000), S at (0.0000, 0.0000, 0.2300) and S at (0.0000, 0.0000, 0.3719).

Its total DFT energy (no corrections) is -6.889 eV per atom. Its crystal system is trigonal. As for the total moment: 0.0 μB/f.u. The formation energy without anion corrections is -1349 meV per atom.



# 10
A relaxed structure of HfTl2S, computed with PBE-GGA.

It has space group I-42d (No. 122), with a = 8.194 Å, b = 8.194 Å, c = 5.807 Å, α = 90.00°, β = 90.00° and γ = 90.00°. Symmetry generates all atoms from Hf at (0.000, 0.000, 0.000), Tl at (0.244, 0.250, 0.625) and S at (0.000, 0.000, 0.500).

Its total DFT energy (no corrections) is -4.410 eV per atom. Its crystal system is tetragonal. As for the total moment: 0.0 μB/f.u. The formation energy without anion corrections is 293 meV per atom.



# 11
A relaxed structure of HfTl2S2, computed with PBE-GGA.

It has space group P4/mbm (No. 127), with a = 6.796 Å, b = 6.796 Å, c = 5.537 Å, α = 90.00°, β = 90.00° and γ = 90.00°. Symmetry generates all atoms from Hf at (0.000, 0.000, 0.000), Tl at (0.170, 0.330, 0.500) and S at (0.178, 0.678, 0.000).

Its total DFT energy (no corrections) is -5.101 eV per atom. Its crystal system is tetragonal. As for the total moment: 0.0 μB/f.u. The formation energy without anion corrections is -513 meV per atom.



# 12
A relaxed structure of HfTlS, computed with PBE-GGA.

It has space group P-3m1 (No. 164), with a = 4.2060 Å, b = 4.2060 Å, c = 10.5912 Å, α = 90.00°, β = 90.00° and γ = 120.00°. Symmetry generates all atoms from Hf at (0.3333, 0.6667, 0.4001), Tl at (0.3333, 0.6667, 0.1087) and S at (0.3333, 0.6667, 0.6402).

Its total DFT energy (no corrections) is -6.078 eV per atom. Its crystal system is trigonal. As for the total moment: 0.0 μB/f.u. The formation energy without anion corrections is -596 meV per atom.



Question: The highest formation energy without anion corrections belongs to which entry?
Answer: number 4



Question: Look up the total DFT energy (no corrections) of the second one.
Answer: -7.273 eV per atom



Copy entry 4 word for word.
A relaxed structure of HfTl2S, computed with PBE-GGA.

It has space group Fm-3m (No. 225), with a = 7.304 Å, b = 7.304 Å, c = 7.304 Å, α = 90.00°, β = 90.00° and γ = 90.00°. Symmetry generates all atoms from Hf at (0.000, 0.000, 0.000), Tl at (0.250, 0.250, 0.250) and S at (0.000, 0.000, 0.500).

Its total DFT energy (no corrections) is -4.188 eV per atom. Its crystal system is cubic. As for the total moment: 0.0 μB/f.u. The formation energy without anion corrections is 515 meV per atom.